# 1
# Tb2HoMnS6

A relaxed Tb2HoMnS6 crystal (PBE, Alexandria).

Structure (POSCAR):
```
Tb2HoMnS6
1.0
-2.292 -3.475 -5.507
4.054 -1.268 -5.048
2.065 -6.890 -1.172
Ho S Tb Mn
1 6 2 1
Direct
0.821 0.815 0.548
0.427 0.685 0.776
0.965 0.574 0.248
0.687 0.117 0.773
0.216 0.958 0.238
0.590 0.197 0.268
0.109 0.437 0.755
0.006 0.027 0.943
0.519 0.529 0.433
0.323 0.321 0.033
```

Values from the calculation:
* formation energy from raw total energies: -1.60 eV per atom

=====

# 2
# HfNbCo

A relaxed HfNbCo crystal (PBE, Alexandria).

Structure (POSCAR):
```
HfNbCo
1.0
-3.351 3.609 -1.336
-1.091 0.754 -4.973
-8.183 -4.036 -0.125
Hf Nb Co
4 4 4
Direct
0.833 0.334 0.000
0.167 0.666 0.000
0.583 0.834 0.500
0.917 0.166 0.500
0.169 0.500 0.661
0.419 0.000 0.161
0.581 0.000 0.839
0.331 0.500 0.339
0.124 0.000 0.751
0.626 0.500 0.749
0.874 0.500 0.251
0.876 0.000 0.249
```

Values from the calculation:
* energy of formation: -21.74 kJ per mole of atoms

=====

# 3
# Ba2NaRhPb

A relaxed Ba2NaRhPb crystal (PBE, Alexandria).

Structure (POSCAR):
```
Ba2NaRhPb
1.0
-1.204 -0.765 -5.971
5.018 -3.490 -0.565
-2.881 -4.326 1.135
Ba Na Pb Rh
2 1 1 1
Direct
0.000 0.500 0.000
0.500 0.000 0.000
0.500 0.500 0.500
0.000 0.000 0.500
0.000 0.000 0.000
```

Values from the calculation:
* energy of formation: -22.69 kJ per mole of atoms

=====

# 4
# LiHPdPt2

A relaxed LiHPdPt2 crystal (PBE, Alexandria).

Structure (POSCAR):
```
LiHPdPt2
1.0
-0.133 2.544 2.985
-1.759 -2.709 2.230
3.635 -1.309 1.277
Pd Pt Li H
1 2 1 1
Direct
0.000 0.000 0.500
0.500 0.000 0.000
0.000 0.500 0.000
0.500 0.500 0.500
0.000 0.000 0.000
```

=====

# 5
# Sm2Ho6In

A relaxed Sm2Ho6In crystal (PBE, Alexandria).

Structure (POSCAR):
```
Sm2Ho6In
1.0
-0.445 2.044 2.781
-9.666 -2.996 0.656
7.232 -5.505 3.029
Ho In Sm
6 1 2
Direct
0.823 0.661 0.646
0.823 0.985 0.646
0.500 0.298 0.000
0.177 0.015 0.354
0.500 0.702 0.000
0.177 0.339 0.354
0.000 0.000 0.000
0.847 0.347 0.695
0.153 0.653 0.305
```

Values from the calculation:
* energy of formation: -1.74 kJ per mole of atoms

=====

# 6
# Sc2AgPdC

A relaxed Sc2AgPdC crystal (PBE, Alexandria).

Structure (POSCAR):
```
Sc2AgPdC
1.0
-2.732 -1.058 3.454
-0.672 -4.106 -1.789
3.215 -1.442 2.101
Sc Ag Pd C
2 1 1 1
Direct
0.500 0.000 0.000
0.000 0.500 0.000
0.500 0.500 0.500
0.000 0.000 0.500
0.000 0.000 0.000
```

Values from the calculation:
* energy of formation: -36.89 kJ per mole of atoms

=====

# 7
# ZnCo2Mo

A relaxed ZnCo2Mo crystal (PBE, Alexandria).

Structure (POSCAR):
```
ZnCo2Mo
1.0
-1.271 -2.158 0.963
3.766 -2.399 -0.404
1.145 1.120 4.020
Mo Co Zn
1 2 1
Direct
0.500 0.000 0.500
0.500 0.500 0.000
0.000 0.000 0.000
0.000 0.500 0.500
```

Values from the calculation:
* energy of formation: 28.41 kJ per mole of atoms

=====

# 8
# TmHfHg

A relaxed TmHfHg crystal (PBE, Alexandria).

Structure (POSCAR):
```
TmHfHg
1.0
3.357 0.000 0.000
0.000 3.357 0.000
-1.679 -1.679 6.350
Hf Tm Hg
1 1 1
Direct
0.327 0.327 0.655
0.000 0.000 0.000
0.673 0.673 0.345
```

Values from the calculation:
* energy of formation: -16.94 kJ per mole of atoms

=====

# 9
# CaSiSb

A relaxed CaSiSb crystal (PBE, Alexandria).

Structure (POSCAR):
```
CaSiSb
1.0
5.889 -0.030 0.034
4.688 3.564 0.035
1.201 0.400 3.572
Si Ca Sb
1 1 1
Direct
0.703 0.703 0.297
0.000 0.000 0.000
0.297 0.297 0.703
```

Values from the calculation:
* formation energy from raw total energies: -0.22 eV per atom

=====

# 10
# BaHgS

A relaxed BaHgS crystal (PBE, Alexandria).

Structure (POSCAR):
```
BaHgS
1.0
-6.384 4.854 2.775
-2.723 -1.960 -2.837
2.590 -12.036 5.827
Hg Ba S
4 4 4
Direct
0.054 0.500 0.429
0.054 0.000 0.929
0.801 0.500 0.952
0.801 0.000 0.452
0.549 0.000 0.155
0.132 0.500 0.731
0.132 0.000 0.231
0.549 0.500 0.655
0.401 0.000 0.751
0.827 0.500 0.173
0.827 0.000 0.673
0.401 0.500 0.251
```

Values from the calculation:
* formation energy from raw total energies: -1.13 eV per atom

=====

# 11
# Mo4PtCl

A relaxed Mo4PtCl crystal (PBE, Alexandria).

Structure (POSCAR):
```
Mo4PtCl
1.0
0.000 3.714 3.714
3.714 0.000 3.714
3.714 3.714 0.000
Pt Mo Cl
1 4 1
Direct
0.250 0.250 0.250
0.122 0.626 0.626
0.626 0.626 0.122
0.626 0.626 0.626
0.626 0.122 0.626
0.000 0.000 0.000
```

Values from the calculation:
* formation energy from raw total energies: 0.75 eV per atom

=====

# 12
# NaTl3Hg

A relaxed NaTl3Hg crystal (PBE, Alexandria).

Structure (POSCAR):
```
NaTl3Hg
1.0
5.701 0.000 0.000
0.000 5.701 0.000
0.000 0.000 5.701
Tl Hg Na
3 1 1
Direct
0.000 0.500 0.000
0.500 0.000 0.000
0.000 0.000 0.500
0.500 0.500 0.500
0.000 0.000 0.000
```

Values from the calculation:
* energy of formation: 31.06 kJ per mole of atoms

=====

# 13
# Dy2Mg2Ag3

A relaxed Dy2Mg2Ag3 crystal (PBE, Alexandria).

Structure (POSCAR):
```
Dy2Mg2Ag3
1.0
4.626 -0.004 -1.286
-2.496 4.110 -0.001
-0.056 -0.031 8.693
Mg Ag Dy
2 3 2
Direct
0.743 0.372 0.113
0.257 0.628 0.887
0.000 0.000 0.000
0.495 0.747 0.241
0.505 0.253 0.759
0.248 0.124 0.369
0.752 0.876 0.631
```

Values from the calculation:
* energy of formation: -15.30 kJ per mole of atoms

=====

Number 1: uncorrected energy -6.38 eV/atom, volume 23.543 A^3/atom. Number 2: uncorrected energy -9.27 eV/atom, volume 16.652 A^3/atom. Number 3: uncorrected energy -3.48 eV/atom, volume 40.091 A^3/atom. Number 4: uncorrected energy -4.76 eV/atom, volume 12.535 A^3/atom. Number 5: uncorrected energy -4.42 eV/atom, volume 31.134 A^3/atom. Number 6: uncorrected energy -6.37 eV/atom, volume 16.827 A^3/atom. Number 7: uncorrected energy -6.28 eV/atom, volume 13.016 A^3/atom. Number 8: uncorrected energy -5.08 eV/atom, volume 23.853 A^3/atom. Number 9: uncorrected energy -4.07 eV/atom, volume 25.103 A^3/atom. Number 10: uncorrected energy -3.25 eV/atom, volume 36.438 A^3/atom. Number 11: uncorrected energy -7.79 eV/atom, volume 17.082 A^3/atom. Number 12: uncorrected energy -1.42 eV/atom, volume 37.065 A^3/atom. Number 13: uncorrected energy -3.15 eV/atom, volume 23.541 A^3/atom.